[1]
A relaxed structure of Y2Zn2Pt5Au. Source: the Alexandria database, functional PBE.

Properties
E_form (meV per atom): -790.4

```
Y2Zn2Pt5Au
1.0
9.542 0.000 0.000
0.000 9.542 0.000
0.000 0.000 3.878
Y Zn Pt Au
4 4 10 2
Direct
0.178 0.322 0.000
0.322 0.822 0.000
0.678 0.178 0.000
0.822 0.678 0.000
0.121 0.621 0.000
0.379 0.121 0.000
0.621 0.879 0.000
0.879 0.379 0.000
0.000 0.500 0.500
0.068 0.794 0.500
0.206 0.068 0.500
0.294 0.568 0.500
0.432 0.294 0.500
0.500 0.000 0.500
0.568 0.706 0.500
0.706 0.432 0.500
0.794 0.932 0.500
0.932 0.206 0.500
0.000 0.000 0.000
0.500 0.500 0.000
```



[2]
A relaxed structure of LiTbDy4Se8. Source: the Alexandria database, functional PBE.

Properties
Formation energy without anion corrections (kJ/mol of formula units): -2407

```
LiTbDy4Se8
1.0
4.182 2.415 6.843
-4.182 2.415 6.843
0.000 -4.829 6.843
Li Tb Dy Se
1 1 4 8
Direct
0.000 0.000 0.000
0.370 0.370 0.370
0.370 0.370 0.890
0.370 0.890 0.370
0.750 0.750 0.750
0.890 0.370 0.370
0.130 0.130 0.130
0.130 0.130 0.609
0.130 0.609 0.130
0.150 0.617 0.617
0.609 0.130 0.130
0.616 0.616 0.616
0.617 0.150 0.617
0.617 0.617 0.150
```



[3]
A relaxed structure of LiTc. Source: the Alexandria database, functional PBE.

Properties
E_form (meV per atom): 201.7
Offset from the most stable computed form (meV/atom): 108

```
LiTc
1.0
3.036 0.000 0.000
0.000 3.036 0.000
0.000 0.000 6.579
Li Tc
2 2
Direct
0.250 0.250 0.130
0.750 0.750 0.870
0.250 0.250 0.599
0.750 0.750 0.401
```



Total magnetic moment? In order: 0.0; 0.0; 0.0 μB/cell.